Zn2CoCuRe: relaxed, GGA-PBE.

a b c (Å): 4.814 4.814 4.590
angles (deg): 90.00 90.00 90.00
Space group P4/mmm (No. 123)
Inequivalent atoms, fractional coordinates:
1 Zn 0.000 0.500 0.000
2 Co 0.000 0.000 0.500
3 Cu 0.500 0.500 0.500
4 Re 0.500 0.500 0.000

Results
Energy of formation in eV per atom: 1.60
DOS(E_F) in states/eV per cell: 5.62
Magnetization in μB/cell: 2.692

---

CsInO2: relaxed, GGA-PBE.

a b c (Å): 3.4728 3.4728 13.4790
angles (deg): 90.00 90.00 120.00
Space group P6_3/mmc (No. 194)
Inequivalent atoms, fractional coordinates:
1 Cs 0.3333 0.6667 0.2500
2 In 0.0000 0.0000 0.0000
3 O 0.3333 0.6667 0.5825

Results
Formation energy from raw total energies in kJ per mole of atoms: -135.0
DOS(E_F) in states/eV per cell: 0.00
Magnetization in μB/cell: 0.000

---

Tb6YHo3: relaxed, GGA-PBE.

a b c (Å): 9.619 21.011 6.365
angles (deg): 90.00 90.00 90.00
Space group Cmc2_1 (No. 36)
Inequivalent atoms, fractional coordinates:
1 Tb 0.000 0.015 0.000
2 Tb 0.000 0.302 0.023
3 Tb 0.175 0.281 0.487
4 Tb 0.181 0.440 0.244
5 Y 0.000 0.160 0.801
6 Ho 0.000 0.420 0.721
7 Ho 0.169 0.127 0.326

Results
Energy of formation in eV per atom: 0.12
DOS(E_F) in states/eV per cell: 65.02
Magnetization in μB/cell: 0.000